# 1
Material: SrCaZn2Pt2
Method: DFT, PBE
State: relaxed Values from VASP.

Structure (Quantum ESPRESSO input):
```
&SYSTEM
  ibrav = 0, nat = 6, ntyp = 4
/
ATOMIC_SPECIES
Sr 87.62 Sr.upf
Ca 40.08 Ca.upf
Zn 65.41 Zn.upf
Pt 195.08 Pt.upf
ATOMIC_POSITIONS crystal
Sr 0.000 0.000 0.000
Ca 0.000 0.000 0.500
Zn 0.333 0.667 0.275
Zn 0.667 0.333 0.725
Pt 0.333 0.667 0.730
Pt 0.667 0.333 0.270
CELL_PARAMETERS angstrom
4.407 0.000 0.000
-2.203 3.816 0.000
0.000 0.000 8.038
```

Summary:
formation energy: -0.747 eV per atom
electronic total energy: -3.799 eV/atom
size of the total moment: 0.00 μB per formula unit
symmetry: P-3m1 (164)



# 2
Material: Mg3Ga2BRu3
Method: DFT, PBE
State: relaxed Values from VASP.

Structure (Quantum ESPRESSO input):
```
&SYSTEM
  ibrav = 0, nat = 9, ntyp = 4
/
ATOMIC_SPECIES
Mg 24.30 Mg.upf
Ga 69.72 Ga.upf
B 10.81 B.upf
Ru 101.07 Ru.upf
ATOMIC_POSITIONS crystal
Mg 0.000 0.371 0.000
Mg 0.371 0.000 0.000
Mg 0.629 0.629 0.000
Ga 0.333 0.667 0.500
Ga 0.667 0.333 0.500
B 0.000 0.000 0.000
Ru 0.000 0.752 0.500
Ru 0.248 0.248 0.500
Ru 0.752 0.000 0.500
CELL_PARAMETERS angstrom
6.873 0.000 0.000
-3.436 5.952 0.000
0.000 0.000 3.126
```

Summary:
formation energy: -0.241 eV per atom
electronic total energy: -5.279 eV/atom
size of the total moment: 0.00 μB per formula unit
symmetry: P-62m (189)



# 3
Material: LaSbPb
Method: DFT, PBE
State: relaxed Values from VASP.

Structure (Quantum ESPRESSO input):
```
&SYSTEM
  ibrav = 0, nat = 3, ntyp = 3
/
ATOMIC_SPECIES
La 138.91 La.upf
Sb 121.76 Sb.upf
Pb 207.20 Pb.upf
ATOMIC_POSITIONS crystal
La 0.000 0.000 0.000
Sb 0.338 0.338 0.000
Pb 0.700 0.700 0.000
CELL_PARAMETERS angstrom
-2.029 2.029 5.566
2.029 -2.029 5.566
2.029 2.029 -5.566
```

Summary:
electronic total energy: -4.765 eV/atom
size of the total moment: 0.00 μB per formula unit
symmetry: I4mm (107)
energy relative to the lowest polymorph listed for this composition: 191.3 meV per atom



# 4
Material: K2MnBe
Method: DFT, PBE
State: relaxed Values from VASP.

Structure (Quantum ESPRESSO input):
```
&SYSTEM
  ibrav = 0, nat = 4, ntyp = 3
/
ATOMIC_SPECIES
K 39.10 K.upf
Mn 54.94 Mn.upf
Be 9.01 Be.upf
ATOMIC_POSITIONS crystal
K 0.000 0.000 0.000
K 0.182 0.182 0.544
Mn 0.424 0.424 0.272
Be 0.758 0.758 0.272
CELL_PARAMETERS angstrom
3.552 -2.055 0.000
3.552 2.055 0.000
-2.382 0.000 9.484
```

Summary:
formation energy: 0.701 eV per atom
electronic total energy: -3.072 eV/atom
size of the total moment: 3.47 μB per formula unit
symmetry: Cm (8)



# 5
Material: Hf8Ti2In
Method: DFT, PBE
State: relaxed Values from VASP.

Structure (Quantum ESPRESSO input):
```
&SYSTEM
  ibrav = 0, nat = 11, ntyp = 3
/
ATOMIC_SPECIES
Hf 178.49 Hf.upf
Ti 47.87 Ti.upf
In 114.82 In.upf
ATOMIC_POSITIONS crystal
Hf 0.098 0.327 0.652
Hf 0.222 0.778 0.000
Hf 0.327 0.098 0.652
Hf 0.415 0.415 0.213
Hf 0.585 0.585 0.787
Hf 0.673 0.902 0.348
Hf 0.778 0.222 0.000
Hf 0.902 0.673 0.348
Ti 0.299 0.701 0.500
Ti 0.701 0.299 0.500
In 0.000 0.000 0.000
CELL_PARAMETERS angstrom
3.836 -6.767 0.000
3.836 6.767 0.000
-2.103 0.000 4.670
```

Summary:
formation energy: 0.143 eV per atom
electronic total energy: -8.780 eV/atom
size of the total moment: 0.00 μB per formula unit
symmetry: C2/m (12)



# 6
Material: LiZn3Ga
Method: DFT, PBE
State: relaxed Values from VASP.

Structure (Quantum ESPRESSO input):
```
&SYSTEM
  ibrav = 0, nat = 5, ntyp = 3
/
ATOMIC_SPECIES
Li 6.94 Li.upf
Zn 65.41 Zn.upf
Ga 69.72 Ga.upf
ATOMIC_POSITIONS crystal
Li 0.000 0.000 0.000
Zn 0.000 0.000 0.500
Zn 0.000 0.500 0.000
Zn 0.500 0.000 0.000
Ga 0.500 0.500 0.500
CELL_PARAMETERS angstrom
4.574 0.000 0.000
0.000 4.574 0.000
0.000 0.000 4.574
```

Summary:
formation energy: 0.378 eV per atom
electronic total energy: -1.374 eV/atom
size of the total moment: 0.00 μB per formula unit
symmetry: Pm-3m (221)
energy relative to the lowest polymorph listed for this composition: 496.2 meV per atom



The highest size of the total moment belongs to which entry?
K2MnBe